No. 1
DFT (PBE-GGA) results for an optimized crystal structure of LuTc2Ni.

The structure in POSCAR format:
```
LuTc2Ni
1.0
-0.693 1.766 4.031
-0.034 4.424 0.518
-3.823 2.110 0.880
Lu Ni Tc
1 1 2
Direct
0.500 0.500 0.500
0.250 0.250 0.250
0.000 0.000 0.000
0.750 0.750 0.750
```

Computed properties:
SG   No. 216
Spin magnetization   0.7 Bohr magnetons per cell
ΔE_f   -0.010 eV per atom
VASP energy   -30.85 eV/cell



No. 2
DFT (PBE-GGA) results for an optimized crystal structure of LuTcNi.

The structure in POSCAR format:
```
LuTcNi
1.0
0.000 3.082 3.082
3.082 0.000 3.082
3.082 3.082 0.000
Lu Ni Tc
1 1 1
Direct
0.000 0.000 0.000
0.250 0.250 0.250
0.750 0.750 0.750
```

Computed properties:
SG   No. 216
Spin magnetization   2.3 Bohr magnetons per cell
ΔE_f   0.959 eV per atom
VASP energy   -17.57 eV/cell